1.
! GGA-PBE InSn4Pb5, optimized geometry; values from VASP
&SYSTEM
  ibrav = 0, nat = 10, ntyp = 3
/
ATOMIC_SPECIES
In 114.82 In.upf
Sn 118.71 Sn.upf
Pb 207.20 Pb.upf
CELL_PARAMETERS angstrom
9.081 -2.391 0.000
9.081 2.391 0.000
-1.298 0.000 6.864
ATOMIC_POSITIONS crystal
In 0.000 0.000 0.000
Sn 0.202 0.202 0.104
Sn 0.399 0.399 0.712
Sn 0.601 0.601 0.288
Sn 0.798 0.798 0.896
Pb 0.000 0.000 0.500
Pb 0.198 0.198 0.594
Pb 0.399 0.399 0.190
Pb 0.601 0.601 0.810
Pb 0.802 0.802 0.406
! Energy relative to the elements ... 34 meV per atom
! Distance to the lowest polymorph of the same formula ... 0 meV/atom
! Symmetry ... No. 12
! Size of the total moment ... 0.00 μB per cell
! Volume ... 298.1 Å³/cell

2.
! GGA-PBE Dy2HgGe, optimized geometry; values from VASP
&SYSTEM
  ibrav = 0, nat = 4, ntyp = 3
/
ATOMIC_SPECIES
Dy 162.50 Dy.upf
Hg 200.59 Hg.upf
Ge 72.64 Ge.upf
CELL_PARAMETERS angstrom
2.138 1.234 6.944
-2.138 1.234 6.944
0.000 -2.469 6.944
ATOMIC_POSITIONS crystal
Dy 0.237 0.237 0.237
Dy 0.763 0.763 0.763
Hg 0.000 0.000 0.000
Ge 0.500 0.500 0.500
! Energy relative to the elements ... -553 meV per atom
! Symmetry ... No. 166
! Size of the total moment ... 0.00 μB per cell
! Volume ... 110.0 Å³/cell

3.
! GGA-PBE TbSmAgPd, optimized geometry; values from VASP
&SYSTEM
  ibrav = 0, nat = 4, ntyp = 4
/
ATOMIC_SPECIES
Tb 158.93 Tb.upf
Sm 150.36 Sm.upf
Ag 107.87 Ag.upf
Pd 106.42 Pd.upf
CELL_PARAMETERS angstrom
3.607 0.000 0.000
0.000 3.607 0.000
0.000 0.000 7.287
ATOMIC_POSITIONS crystal
Tb 0.000 0.000 0.000
Sm 0.000 0.000 0.523
Ag 0.500 0.500 0.253
Pd 0.500 0.500 0.771
! Energy relative to the elements ... -557 meV per atom
! Distance to the lowest polymorph of the same formula ... 0 meV/atom
! Symmetry ... No. 99
! Size of the total moment ... 0.00 μB per cell
! Volume ... 94.8 Å³/cell

4.
! GGA-PBE ScTiGaMo, optimized geometry; values from VASP
&SYSTEM
  ibrav = 0, nat = 4, ntyp = 4
/
ATOMIC_SPECIES
Sc 44.96 Sc.upf
Ti 47.87 Ti.upf
Ga 69.72 Ga.upf
Mo 95.94 Mo.upf
CELL_PARAMETERS angstrom
0.000 3.239 3.239
3.239 0.000 3.239
3.239 3.239 0.000
ATOMIC_POSITIONS crystal
Sc 0.000 0.000 0.000
Ti 0.500 0.500 0.500
Ga 0.750 0.750 0.750
Mo 0.250 0.250 0.250
! Energy relative to the elements ... -258 meV per atom
! Symmetry ... No. 216
! Size of the total moment ... 0.00 μB per cell
! Volume ... 68.0 Å³/cell

5.
! GGA-PBE Sr3InPt, optimized geometry; values from VASP
&SYSTEM
  ibrav = 0, nat = 5, ntyp = 3
/
ATOMIC_SPECIES
Sr 87.62 Sr.upf
In 114.82 In.upf
Pt 195.08 Pt.upf
CELL_PARAMETERS angstrom
5.852 0.000 0.000
0.000 5.852 0.000
0.000 0.000 5.852
ATOMIC_POSITIONS crystal
Sr 0.000 0.000 0.500
Sr 0.000 0.500 0.000
Sr 0.500 0.000 0.000
In 0.500 0.500 0.500
Pt 0.000 0.000 0.000
! Energy relative to the elements ... -451 meV per atom
! Distance to the lowest polymorph of the same formula ... 70 meV/atom
! Symmetry ... No. 221
! Size of the total moment ... 0.00 μB per cell
! Volume ... 200.4 Å³/cell

6.
! GGA-PBE Ac2Pm4Nd, optimized geometry; values from VASP
&SYSTEM
  ibrav = 0, nat = 7, ntyp = 3
/
ATOMIC_SPECIES
Ac 227.00 Ac.upf
Pm 145.00 Pm.upf
Nd 144.24 Nd.upf
CELL_PARAMETERS angstrom
5.901 -2.671 0.000
5.901 2.671 0.000
-1.226 0.000 8.314
ATOMIC_POSITIONS crystal
Ac 0.212 0.212 0.148
Ac 0.788 0.788 0.852
Pm 0.073 0.073 0.705
Pm 0.360 0.360 0.572
Pm 0.640 0.640 0.428
Pm 0.927 0.927 0.295
Nd 0.500 0.500 0.000
! Energy relative to the elements ... 35 meV per atom
! Distance to the lowest polymorph of the same formula ... 0 meV/atom
! Symmetry ... No. 12
! Size of the total moment ... 0.00 μB per cell
! Volume ... 262.1 Å³/cell

7.
! GGA-PBE Ga3TcBi, optimized geometry; values from VASP
&SYSTEM
  ibrav = 0, nat = 5, ntyp = 3
/
ATOMIC_SPECIES
Ga 69.72 Ga.upf
Tc 98.00 Tc.upf
Bi 208.98 Bi.upf
CELL_PARAMETERS angstrom
4.899 0.000 0.000
0.000 4.899 0.000
0.000 0.000 4.899
ATOMIC_POSITIONS crystal
Ga 0.000 0.000 0.500
Ga 0.000 0.500 0.000
Ga 0.500 0.000 0.000
Tc 0.000 0.000 0.000
Bi 0.500 0.500 0.500
! Energy relative to the elements ... 328 meV per atom
! Distance to the lowest polymorph of the same formula ... 0 meV/atom
! Symmetry ... No. 221
! Size of the total moment ... 1.13 μB per cell
! Volume ... 117.5 Å³/cell

8.
! GGA-PBE ScAg2Cl5, optimized geometry; values from VASP
&SYSTEM
  ibrav = 0, nat = 8, ntyp = 3
/
ATOMIC_SPECIES
Sc 44.96 Sc.upf
Ag 107.87 Ag.upf
Cl 35.45 Cl.upf
CELL_PARAMETERS angstrom
6.152 0.000 0.000
2.954 6.175 0.000
2.956 -0.123 6.175
ATOMIC_POSITIONS crystal
Sc 0.000 0.000 0.000
Ag 0.397 0.425 0.976
Ag 0.397 0.976 0.425
Cl 0.224 0.714 0.713
Cl 0.367 0.023 0.023
Cl 0.613 0.270 0.272
Cl 0.927 0.261 0.717
Cl 0.929 0.716 0.260
! Distance to the lowest polymorph of the same formula ... 20 meV/atom
! Formation energy (no corrections) ... -1.217 eV/atom
! Symmetry ... No. 1
! Size of the total moment ... 0.00 μB per cell
! Volume ... 234.6 Å³/cell

9.
! GGA-PBE Tl2AgIr, optimized geometry; values from VASP
&SYSTEM
  ibrav = 0, nat = 4, ntyp = 3
/
ATOMIC_SPECIES
Tl 204.38 Tl.upf
Ag 107.87 Ag.upf
Ir 192.22 Ir.upf
CELL_PARAMETERS angstrom
-1.532 2.316 6.293
1.532 -2.316 6.293
1.532 2.316 -6.293
ATOMIC_POSITIONS crystal
Tl 0.000 0.000 0.000
Tl 0.711 0.211 0.500
Ag 0.319 0.819 0.500
Ir 0.512 0.512 0.000
! Energy relative to the elements ... 318 meV per atom
! Distance to the lowest polymorph of the same formula ... 0 meV/atom
! Symmetry ... No. 44
! Size of the total moment ... 0.00 μB per cell
! Volume ... 89.3 Å³/cell

10.
! GGA-PBE Tl2CuSi, optimized geometry; values from VASP
&SYSTEM
  ibrav = 0, nat = 4, ntyp = 3
/
ATOMIC_SPECIES
Tl 204.38 Tl.upf
Cu 63.55 Cu.upf
Si 28.09 Si.upf
CELL_PARAMETERS angstrom
1.748 1.009 8.329
-1.748 1.009 8.329
0.000 -2.019 8.329
ATOMIC_POSITIONS crystal
Tl 0.245 0.245 0.245
Tl 0.755 0.755 0.755
Cu 0.500 0.500 0.500
Si 0.000 0.000 0.000
! Distance to the lowest polymorph of the same formula ... 341 meV/atom
! Formation energy (no corrections) ... 0.495 eV/atom
! Symmetry ... No. 166
! Size of the total moment ... 0.00 μB per cell
! Volume ... 88.2 Å³/cell

11.
! GGA-PBE YPt2Au, optimized geometry; values from VASP
&SYSTEM
  ibrav = 0, nat = 4, ntyp = 3
/
ATOMIC_SPECIES
Y 88.91 Y.upf
Pt 195.08 Pt.upf
Au 196.97 Au.upf
CELL_PARAMETERS angstrom
3.341 0.000 0.000
0.000 3.964 0.000
-0.041 0.000 5.732
ATOMIC_POSITIONS crystal
Y 0.000 0.000 0.000
Pt 0.004 0.000 0.507
Pt 0.498 0.500 0.762
Au 0.503 0.500 0.278
! Energy relative to the elements ... -663 meV per atom
! Symmetry ... No. 6
! Size of the total moment ... 0.00 μB per cell
! Volume ... 75.9 Å³/cell

12.
! GGA-PBE NdYHo3, optimized geometry; values from VASP
&SYSTEM
  ibrav = 0, nat = 20, ntyp = 3
/
ATOMIC_SPECIES
Nd 144.24 Nd.upf
Y 88.91 Y.upf
Ho 164.93 Ho.upf
CELL_PARAMETERS angstrom
7.661 -6.594 0.000
7.661 6.594 0.000
-1.547 0.000 6.392
ATOMIC_POSITIONS crystal
Nd 0.077 0.923 0.750
Nd 0.185 0.815 0.250
Nd 0.815 0.185 0.750
Nd 0.923 0.077 0.250
Y 0.324 0.474 0.049
Y 0.474 0.324 0.549
Y 0.526 0.676 0.451
Y 0.676 0.526 0.951
Ho 0.016 0.387 0.151
Ho 0.126 0.278 0.647
Ho 0.214 0.583 0.549
Ho 0.278 0.126 0.147
Ho 0.387 0.016 0.651
Ho 0.417 0.786 0.951
Ho 0.583 0.214 0.049
Ho 0.613 0.984 0.349
Ho 0.722 0.874 0.853
Ho 0.786 0.417 0.451
Ho 0.874 0.722 0.353
Ho 0.984 0.613 0.849
! Energy relative to the elements ... 44 meV per atom
! Distance to the lowest polymorph of the same formula ... 31 meV/atom
! Symmetry ... No. 15
! Size of the total moment ... 0.00 μB per cell
! Volume ... 645.9 Å³/cell

13.
! GGA-PBE La3Co4, optimized geometry; values from VASP
&SYSTEM
  ibrav = 0, nat = 7, ntyp = 2
/
ATOMIC_SPECIES
La 138.91 La.upf
Co 58.93 Co.upf
CELL_PARAMETERS angstrom
-1.686 1.686 12.964
1.686 -1.686 12.964
1.686 1.686 -12.964
ATOMIC_POSITIONS crystal
La 0.000 0.000 0.000
La 0.319 0.319 0.000
La 0.681 0.681 0.000
Co 0.107 0.107 0.000
Co 0.417 0.417 0.000
Co 0.583 0.583 0.000
Co 0.893 0.893 0.000
! Energy relative to the elements ... 172 meV per atom
! Distance to the lowest polymorph of the same formula ... 245 meV/atom
! Symmetry ... No. 139
! Size of the total moment ... 4.48 μB per cell
! Volume ... 147.4 Å³/cell

14.
! GGA-PBE KCdInO2, optimized geometry; values from VASP
&SYSTEM
  ibrav = 0, nat = 5, ntyp = 4
/
ATOMIC_SPECIES
K 39.10 K.upf
Cd 112.41 Cd.upf
In 114.82 In.upf
O 16.00 O.upf
CELL_PARAMETERS angstrom
4.286 0.000 0.000
0.000 4.286 0.000
0.000 0.000 5.818
ATOMIC_POSITIONS crystal
K 0.000 0.000 0.000
Cd 0.500 0.500 0.000
In 0.000 0.000 0.500
O 0.000 0.500 0.500
O 0.500 0.000 0.500
! Formation energy (no corrections) ... -0.164 eV/atom
! Symmetry ... No. 123
! Size of the total moment ... 0.01 μB per cell
! Volume ... 106.9 Å³/cell

15.
! GGA-PBE GaHg2As2, optimized geometry; values from VASP
&SYSTEM
  ibrav = 0, nat = 5, ntyp = 3
/
ATOMIC_SPECIES
Ga 69.72 Ga.upf
Hg 200.59 Hg.upf
As 74.92 As.upf
CELL_PARAMETERS angstrom
-1.852 1.852 8.978
1.852 -1.852 8.978
1.852 1.852 -8.978
ATOMIC_POSITIONS crystal
Ga 0.000 0.000 0.000
Hg 0.402 0.402 0.000
Hg 0.598 0.598 0.000
As 0.250 0.750 0.500
As 0.750 0.250 0.500
! Energy relative to the elements ... 205 meV per atom
! Distance to the lowest polymorph of the same formula ... 0 meV/atom
! Symmetry ... No. 139
! Size of the total moment ... 0.00 μB per cell
! Volume ... 123.2 Å³/cell

16.
! GGA-PBE MoIrRh2, optimized geometry; values from VASP
&SYSTEM
  ibrav = 0, nat = 4, ntyp = 3
/
ATOMIC_SPECIES
Mo 95.94 Mo.upf
Ir 192.22 Ir.upf
Rh 102.91 Rh.upf
CELL_PARAMETERS angstrom
4.561 -1.369 0.000
4.561 1.369 0.000
-0.815 0.000 4.685
ATOMIC_POSITIONS crystal
Mo 0.000 0.000 0.000
Ir 0.500 0.500 0.500
Rh 0.249 0.249 0.749
Rh 0.751 0.751 0.251
! Energy relative to the elements ... -118 meV per atom
! Distance to the lowest polymorph of the same formula ... 166 meV/atom
! Symmetry ... No. 12
! Size of the total moment ... 0.00 μB per cell
! Volume ... 58.5 Å³/cell

17.
! GGA-PBE Ba3CrN4, optimized geometry; values from VASP
&SYSTEM
  ibrav = 0, nat = 32, ntyp = 3
/
ATOMIC_SPECIES
Ba 137.33 Ba.upf
Cr 52.00 Cr.upf
N 14.01 N.upf
CELL_PARAMETERS angstrom
7.819 0.000 0.000
0.000 9.693 0.000
0.000 0.000 7.982
ATOMIC_POSITIONS crystal
Ba 0.050 0.047 0.218
Ba 0.050 0.453 0.218
Ba 0.154 0.750 0.418
Ba 0.346 0.250 0.918
Ba 0.450 0.547 0.718
Ba 0.450 0.953 0.718
Ba 0.550 0.047 0.282
Ba 0.550 0.453 0.282
Ba 0.654 0.750 0.082
Ba 0.846 0.250 0.582
Ba 0.950 0.547 0.782
Ba 0.950 0.953 0.782
Cr 0.221 0.750 0.984
Cr 0.279 0.250 0.484
Cr 0.721 0.750 0.516
Cr 0.779 0.250 0.016
N 0.013 0.750 0.066
N 0.169 0.099 0.545
N 0.169 0.401 0.545
N 0.208 0.750 0.762
N 0.292 0.250 0.262
N 0.331 0.599 0.045
N 0.331 0.901 0.045
N 0.487 0.250 0.566
N 0.513 0.750 0.434
N 0.669 0.099 0.955
N 0.669 0.401 0.955
N 0.708 0.750 0.738
N 0.792 0.250 0.238
N 0.831 0.599 0.455
N 0.831 0.901 0.455
N 0.987 0.250 0.934
! Formation energy (no corrections) ... -0.785 eV/atom
! Symmetry ... No. 62
! Size of the total moment ... 0.00 μB per cell
! Volume ... 604.9 Å³/cell

18.
! GGA-PBE InAgIr2, optimized geometry; values from VASP
&SYSTEM
  ibrav = 0, nat = 4, ntyp = 3
/
ATOMIC_SPECIES
In 114.82 In.upf
Ag 107.87 Ag.upf
Ir 192.22 Ir.upf
CELL_PARAMETERS angstrom
-2.033 2.033 4.022
2.033 -2.033 4.022
2.033 2.033 -4.022
ATOMIC_POSITIONS crystal
In 0.000 0.000 0.000
Ag 0.500 0.500 0.000
Ir 0.250 0.750 0.500
Ir 0.750 0.250 0.500
! Energy relative to the elements ... 278 meV per atom
! Symmetry ... No. 139
! Size of the total moment ... 0.00 μB per cell
! Volume ... 66.5 Å³/cell

19.
! GGA-PBE AlCrCo2, optimized geometry; values from VASP
&SYSTEM
  ibrav = 0, nat = 4, ntyp = 3
/
ATOMIC_SPECIES
Al 26.98 Al.upf
Cr 52.00 Cr.upf
Co 58.93 Co.upf
CELL_PARAMETERS angstrom
0.000 2.864 2.864
2.864 0.000 2.864
2.864 2.864 0.000
ATOMIC_POSITIONS crystal
Al 0.000 0.000 0.000
Cr 0.250 0.250 0.250
Co 0.500 0.500 0.500
Co 0.750 0.750 0.750
! Energy relative to the elements ... -21 meV per atom
! Symmetry ... No. 216
! Size of the total moment ... 0.77 μB per cell
! Volume ... 47.0 Å³/cell

20.
! GGA-PBE ScAg2Br, optimized geometry; values from VASP
&SYSTEM
  ibrav = 0, nat = 4, ntyp = 3
/
ATOMIC_SPECIES
Sc 44.96 Sc.upf
Ag 107.87 Ag.upf
Br 79.90 Br.upf
CELL_PARAMETERS angstrom
-2.459 2.459 3.457
2.459 -2.459 3.457
2.459 2.459 -3.457
ATOMIC_POSITIONS crystal
Sc 0.000 0.000 0.000
Ag 0.250 0.750 0.500
Ag 0.500 0.500 0.000
Br 0.750 0.250 0.500
! Distance to the lowest polymorph of the same formula ... 275 meV/atom
! Formation energy (no corrections) ... -0.110 eV/atom
! Symmetry ... No. 119
! Size of the total moment ... 0.00 μB per cell
! Volume ... 83.6 Å³/cell

21.
! GGA-PBE MnNbOsBr2, optimized geometry; values from VASP
&SYSTEM
  ibrav = 0, nat = 5, ntyp = 4
/
ATOMIC_SPECIES
Mn 54.94 Mn.upf
Nb 92.91 Nb.upf
Os 190.23 Os.upf
Br 79.90 Br.upf
CELL_PARAMETERS angstrom
5.088 0.000 0.000
0.000 5.088 0.000
0.000 0.000 5.022
ATOMIC_POSITIONS crystal
Mn 0.000 0.000 0.000
Nb 0.500 0.500 0.500
Os 0.500 0.500 0.000
Br 0.000 0.500 0.500
Br 0.500 0.000 0.500
! Formation energy (no corrections) ... 1.109 eV/atom
! Symmetry ... No. 123
! Size of the total moment ... 6.21 μB per cell
! Volume ... 130.0 Å³/cell

22.
! GGA-PBE PrNd6YHo2, optimized geometry; values from VASP
&SYSTEM
  ibrav = 0, nat = 20, ntyp = 4
/
ATOMIC_SPECIES
Pr 140.91 Pr.upf
Nd 144.24 Nd.upf
Y 88.91 Y.upf
Ho 164.93 Ho.upf
CELL_PARAMETERS angstrom
4.658 -7.678 0.000
4.658 7.678 0.000
-1.247 0.000 9.671
ATOMIC_POSITIONS crystal
Pr 0.028 0.972 0.750
Pr 0.972 0.028 0.250
Nd 0.011 0.562 0.684
Nd 0.115 0.757 0.055
Nd 0.243 0.885 0.445
Nd 0.294 0.512 0.881
Nd 0.438 0.989 0.816
Nd 0.488 0.706 0.619
Nd 0.512 0.294 0.381
Nd 0.562 0.011 0.184
Nd 0.706 0.488 0.119
Nd 0.757 0.115 0.555
Nd 0.885 0.243 0.945
Nd 0.989 0.438 0.316
Y 0.410 0.590 0.250
Y 0.590 0.410 0.750
Ho 0.202 0.300 0.547
Ho 0.300 0.202 0.047
Ho 0.700 0.798 0.953
Ho 0.798 0.700 0.453
! Energy relative to the elements ... 111 meV per atom
! Symmetry ... No. 15
! Size of the total moment ... 0.00 μB per cell
! Volume ... 691.8 Å³/cell

23.
! GGA-PBE Dy5Cd2Sn, optimized geometry; values from VASP
&SYSTEM
  ibrav = 0, nat = 16, ntyp = 3
/
ATOMIC_SPECIES
Dy 162.50 Dy.upf
Cd 112.41 Cd.upf
Sn 118.71 Sn.upf
CELL_PARAMETERS angstrom
-4.142 4.142 6.551
4.142 -4.142 6.551
4.142 4.142 -6.551
ATOMIC_POSITIONS crystal
Dy 0.000 0.000 0.000
Dy 0.003 0.503 0.811
Dy 0.192 0.003 0.500
Dy 0.308 0.808 0.811
Dy 0.497 0.308 0.500
Dy 0.500 0.500 0.000
Dy 0.503 0.692 0.500
Dy 0.692 0.192 0.189
Dy 0.808 0.997 0.500
Dy 0.997 0.497 0.189
Cd 0.136 0.364 0.500
Cd 0.364 0.864 0.228
Cd 0.636 0.136 0.772
Cd 0.864 0.636 0.500
Sn 0.250 0.250 0.000
Sn 0.750 0.750 0.000
! Energy relative to the elements ... -350 meV per atom
! Symmetry ... No. 140
! Size of the total moment ... 0.00 μB per cell
! Volume ... 449.6 Å³/cell